# 1
This record from Alexandria describes Rb2BaBi2 after structural relaxation. The functional is PBE-GGA.

Cell and atoms, written as POSCAR:
```
Rb2BaBi2
1.0
-0.6597 3.3820 3.9801
-2.1304 -3.8370 2.9074
6.1233 -2.1924 6.3595
Bi Rb Ba
2 2 1
direct
0.4089 0.4089 0.1821
0.5911 0.5911 0.8179
0.7500 0.2500 0.5000
0.2500 0.7500 0.5000
0.0000 0.0000 0.0000
```

## Properties
total magnetization: 0.00 μB per formula unit
formation enthalpy at 0 K: -0.389 eV/atom
SG: I4/mmm


# 2
This record from Alexandria describes AlRh2 after structural relaxation. The functional is PBE-GGA.

Cell and atoms, written as POSCAR:
```
AlRh2
1.0
6.2134 0.0092 0.0085
-0.5226 6.1913 -0.0085
0.7851 -0.7205 4.4060
Rh Al
8 4
direct
0.1682 0.1682 0.5000
0.7324 0.2465 0.7540
0.9275 0.4087 0.2239
0.5015 0.5015 0.5000
0.6815 0.6815 0.0000
0.2465 0.7324 0.2460
0.8377 0.8377 0.5000
0.4087 0.9275 0.7761
0.0039 0.0039 0.0000
0.5706 0.0796 0.2740
0.3419 0.3419 0.0000
0.0796 0.5706 0.7260
```

## Properties
total magnetization: 0.00 μB per formula unit
formation enthalpy at 0 K: -0.540 eV/atom
SG: C2


# 3
This record from Alexandria describes Fe2HgIr after structural relaxation. The functional is PBE-GGA.

Cell and atoms, written as POSCAR:
```
Fe2HgIr
1.0
-1.6710 -1.5557 -1.6557
3.0311 -1.1593 -1.9697
0.6028 -4.3754 3.5028
Fe Hg Ir
2 1 1
direct
0.0000 0.0000 0.9639
0.0000 0.0000 0.5361
0.5000 0.5000 0.2500
0.5000 0.5000 0.7500
```

## Properties
total magnetization: 6.06 μB per formula unit
formation enthalpy at 0 K: 0.243 eV/atom
SG: Pmmm


# 4
This record from Alexandria describes RbAc2F7 after structural relaxation. The functional is PBE-GGA.

Cell and atoms, written as POSCAR:
```
RbAc2F7
1.0
-1.0053 -4.3772 -0.1232
2.4412 -0.4553 -3.7441
6.4611 0.6296 6.8317
Rb Ac F
1 2 7
direct
0.0000 0.0000 0.0000
0.6518 0.6518 0.3036
0.3482 0.3482 0.6964
0.1014 0.6014 0.2028
0.3986 0.8986 0.7972
0.6014 0.1014 0.2028
0.5000 0.5000 0.0000
0.7500 0.2500 0.5000
0.8986 0.3986 0.7972
0.2500 0.7500 0.5000
```

## Properties
total magnetization: 0.10 μB per formula unit
energy relative to the elements, uncorrected: -38.51 eV/f.u.
SG: I4/mmm


# 5
This record from Alexandria describes TaReS4 after structural relaxation. The functional is PBE-GGA.

Cell and atoms, written as POSCAR:
```
TaReS4
1.0
5.4298 0.0000 0.0000
0.0000 6.8147 -0.6252
0.0000 -3.2802 6.0574
Ta Re S
2 2 8
direct
0.0000 0.5000 0.5000
0.5000 0.0000 0.5000
0.5000 0.5000 0.0000
0.0000 0.0000 0.0000
0.2151 0.8252 0.1690
0.2849 0.3252 0.1690
0.7844 0.6721 0.3190
0.2844 0.8279 0.6810
0.7156 0.1721 0.3190
0.2156 0.3279 0.6810
0.7151 0.6748 0.8310
0.7849 0.1748 0.8310
```

## Properties
total magnetization: 0.00 μB per formula unit
energy relative to the elements, uncorrected: -3.41 eV/f.u.
SG: P2_1/c


# 6
This record from Alexandria describes GaBi2Au2 after structural relaxation. The functional is PBE-GGA.

Cell and atoms, written as POSCAR:
```
GaBi2Au2
1.0
-0.4146 8.1708 1.0885
-7.7051 0.0031 -2.9580
-1.3307 -0.5292 3.4657
Au Bi Ga
4 4 2
direct
0.1220 0.6220 0.5000
0.6220 0.8780 0.5000
0.8780 0.3780 0.5000
0.3780 0.1220 0.5000
0.3181 0.8181 0.0000
0.8181 0.6819 0.0000
0.6819 0.1819 0.0000
0.1819 0.3181 0.0000
0.0000 0.0000 0.0000
0.5000 0.5000 0.0000
```

## Properties
total magnetization: 0.00 μB per formula unit
formation enthalpy at 0 K: 0.118 eV/atom
SG: P4/mbm


# 7
This record from Alexandria describes TiCo3Hg after structural relaxation. The functional is PBE-GGA.

Cell and atoms, written as POSCAR:
```
TiCo3Hg
1.0
-3.9434 2.2987 1.0837
-2.1685 -4.0868 0.7776
1.3250 0.1527 4.4978
Co Hg Ti
3 1 1
direct
0.0000 0.5000 0.0000
0.0000 0.0000 0.5000
0.5000 0.0000 0.0000
0.0000 0.0000 0.0000
0.5000 0.5000 0.5000
```

## Properties
total magnetization: 2.98 μB per formula unit
formation enthalpy at 0 K: 1.612 eV/atom
SG: Pm-3m


# 8
This record from Alexandria describes BaAlMo2 after structural relaxation. The functional is PBE-GGA.

Cell and atoms, written as POSCAR:
```
BaAlMo2
1.0
-0.9554 2.8598 1.3358
-0.8014 -1.5724 2.7931
6.7043 -0.3768 5.6022
Mo Ba Al
2 1 1
direct
0.0000 0.9157 0.0830
0.5000 0.2616 0.2381
0.5000 0.7452 0.7565
0.0000 0.5775 0.4223
```

## Properties
total magnetization: 0.00 μB per formula unit
formation enthalpy at 0 K: 0.313 eV/atom
SG: Pm


# 9
This record from Alexandria describes Hf2CdSn after structural relaxation. The functional is PBE-GGA.

Cell and atoms, written as POSCAR:
```
Hf2CdSn
1.0
-3.2569 -3.7124 -0.5351
-4.6073 0.9487 -1.5961
-1.4004 -1.4399 -4.5432
Hf Sn Cd
2 1 1
direct
0.2500 0.2500 0.2500
0.7500 0.7500 0.7500
0.5000 0.5000 0.5000
0.0000 0.0000 0.0000
```

## Properties
total magnetization: 0.00 μB per formula unit
formation enthalpy at 0 K: 0.006 eV/atom
SG: Fm-3m


# 10
This record from Alexandria describes LaTh2Co after structural relaxation. The functional is PBE-GGA.

Cell and atoms, written as POSCAR:
```
LaTh2Co
1.0
3.7098 -0.1438 0.0000
-1.6224 6.0864 0.0000
0.0000 0.0000 9.8816
La Th Co
2 4 2
direct
0.4109 0.8223 0.2500
0.5891 0.1777 0.7500
0.1393 0.2793 0.4338
0.8607 0.7207 0.5662
0.8607 0.7207 0.9338
0.1393 0.2793 0.0662
0.6988 0.3978 0.2500
0.3012 0.6022 0.7500
```

## Properties
total magnetization: 0.00 μB per formula unit
formation enthalpy at 0 K: -0.169 eV/atom
SG: Cmcm


# 11
This record from Alexandria describes ScCo after structural relaxation. The functional is PBE-GGA.

Cell and atoms, written as POSCAR:
```
ScCo
1.0
6.8681 0.0000 0.0000
0.0000 6.8681 0.0000
0.0000 0.0000 6.8681
Sc Co
6 6
direct
0.2500 0.0000 0.5000
0.7500 0.0000 0.5000
0.0000 0.5000 0.2500
0.0000 0.5000 0.7500
0.5000 0.2500 0.0000
0.5000 0.7500 0.0000
0.2500 0.5000 0.0000
0.7500 0.5000 0.0000
0.5000 0.0000 0.2500
0.5000 0.0000 0.7500
0.0000 0.2500 0.5000
0.0000 0.7500 0.5000
```

## Properties
total magnetization: 0.06 μB per formula unit
formation enthalpy at 0 K: 1.070 eV/atom
SG: Pm-3n


# 12
This record from Alexandria describes Tb2P2Ir after structural relaxation. The functional is PBE-GGA.

Cell and atoms, written as POSCAR:
```
Tb2P2Ir
1.0
4.0370 0.0000 0.0000
2.0185 5.3290 0.1347
2.0185 1.0767 9.4023
Tb P Ir
4 4 2
direct
0.6993 0.2461 0.3553
0.9093 0.2852 0.8961
0.3007 0.7539 0.6447
0.0907 0.7148 0.1039
0.0505 0.3182 0.5808
0.6581 0.8191 0.8648
0.9495 0.6818 0.4192
0.3419 0.1809 0.1352
0.5656 0.1863 0.6826
0.4344 0.8137 0.3174
```

## Properties
total magnetization: 0.00 μB per formula unit
formation enthalpy at 0 K: -1.212 eV/atom
SG: C2/m


# 13
This record from Alexandria describes SmErNbN3 after structural relaxation. The functional is PBE-GGA.

Cell and atoms, written as POSCAR:
```
SmErNbN3
1.0
-0.7770 -2.7927 1.6231
6.0815 -0.3101 2.3778
-3.3937 5.0744 7.1065
Sm Er Nb N
2 2 2 6
direct
0.7500 0.8024 0.7595
0.2500 0.1976 0.2405
0.2500 0.6634 0.1121
0.7500 0.3366 0.8879
0.2500 0.1381 0.5807
0.7500 0.8619 0.4193
0.2500 0.8012 0.5444
0.7500 0.8923 0.2032
0.7500 0.4030 0.1277
0.7500 0.1988 0.4556
0.2500 0.5970 0.8723
0.2500 0.1077 0.7968
```

## Properties
total magnetization: 0.00 μB per formula unit
energy relative to the elements, uncorrected: -6.71 eV/f.u.
SG: P2_1/m


# 14
This record from Alexandria describes LiY3Ga2 after structural relaxation. The functional is PBE-GGA.

Cell and atoms, written as POSCAR:
```
LiY3Ga2
1.0
-4.0526 -3.0389 0.4819
3.1450 0.6906 3.9399
-6.8722 9.7632 3.7744
Li Y Ga
2 6 4
direct
0.3333 0.6667 0.6731
0.6667 0.3333 0.3269
0.3333 0.6667 0.4179
0.6667 0.3333 0.0786
0.0000 0.0000 0.7564
0.0000 0.0000 0.2436
0.3333 0.6667 0.9214
0.6667 0.3333 0.5821
0.0000 0.0000 0.5000
0.3333 0.6667 0.1796
0.6667 0.3333 0.8204
0.0000 0.0000 0.0000
```

## Properties
total magnetization: 0.00 μB per formula unit
formation enthalpy at 0 K: -0.446 eV/atom
SG: P-3m1


# 15
This record from Alexandria describes CdPBr2 after structural relaxation. The functional is PBE-GGA.

Cell and atoms, written as POSCAR:
```
CdPBr2
1.0
-3.7395 1.6359 1.4982
-2.2397 -2.4240 -2.9437
-1.5464 -6.3781 3.1044
Br Cd P
2 1 1
direct
0.0000 0.9703 0.9338
0.5000 0.2581 0.3595
0.0000 0.5842 0.7060
0.5000 0.6874 0.5007
```

## Properties
total magnetization: 0.00 μB per formula unit
energy relative to the elements, uncorrected: -0.84 eV/f.u.
SG: Amm2


# 16
This record from Alexandria describes BPRhAu after structural relaxation. The functional is PBE-GGA.

Cell and atoms, written as POSCAR:
```
BPRhAu
1.0
4.4483 0.0000 0.0003
0.0000 2.9315 0.0000
-1.4376 0.0000 9.7608
Rh B Au P
2 2 2 2
direct
0.6438 0.0000 0.6166
0.6438 0.5000 0.1166
0.3535 0.0000 0.9985
0.3535 0.5000 0.4985
0.3852 0.0000 0.3341
0.3852 0.5000 0.8341
0.0489 0.0000 0.1113
0.0489 0.5000 0.6113
```

## Properties
total magnetization: 0.00 μB per formula unit
formation enthalpy at 0 K: 0.040 eV/atom
SG: Cm


# 17
This record from Alexandria describes BC3 after structural relaxation. The functional is PBE-GGA.

Cell and atoms, written as POSCAR:
```
BC3
1.0
-4.3341 -1.0269 0.5443
-3.3491 -2.8499 -0.8929
4.6957 -2.0034 5.7596
B C
3 9
direct
0.6570 0.6570 0.3541
0.1874 0.1874 0.2169
0.9916 0.9916 0.9760
0.4880 0.4880 0.3862
0.3320 0.3320 0.1505
0.8393 0.8393 0.0408
0.6685 0.6685 0.8261
0.5078 0.5078 0.8632
0.3333 0.3333 0.6682
0.1692 0.1692 0.7074
0.9905 0.9905 0.5051
0.8352 0.8352 0.5554
```

## Properties
total magnetization: 0.00 μB per formula unit
formation enthalpy at 0 K: 0.345 eV/atom
SG: Cm


# 18
This record from Alexandria describes SmTm3Pd4 after structural relaxation. The functional is PBE-GGA.

Cell and atoms, written as POSCAR:
```
SmTm3Pd4
1.0
-2.2139 4.2480 1.3556
-5.1040 -1.2478 -4.4256
-4.9814 -4.8674 7.1174
Tm Pd Sm
6 8 2
direct
0.0000 0.0000 0.0000
0.0000 0.0000 0.5000
0.4997 0.0000 0.7500
0.5003 0.0000 0.2500
0.4998 0.5000 0.7500
0.5002 0.5000 0.2500
0.5000 0.7586 0.0000
0.5000 0.7586 0.5000
0.5000 0.2414 0.0000
0.5000 0.2414 0.5000
0.9995 0.7582 0.7500
0.0005 0.7582 0.2500
0.0005 0.2418 0.2500
0.9995 0.2418 0.7500
0.0000 0.5000 0.0000
0.0000 0.5000 0.5000
```

## Properties
total magnetization: 0.00 μB per formula unit
formation enthalpy at 0 K: -0.899 eV/atom
SG: P4/mmm


# 19
This record from Alexandria describes BaPb2Au4 after structural relaxation. The functional is PBE-GGA.

Cell and atoms, written as POSCAR:
```
BaPb2Au4
1.0
6.3158 0.0000 0.0000
3.1579 5.3620 0.0000
3.1579 0.0000 5.3620
Ba Pb Au
1 2 4
direct
0.0000 0.0000 0.0000
0.7500 0.5000 0.5000
0.2500 0.5000 0.5000
0.6877 0.0000 0.6246
0.3123 0.0000 0.3754
0.3123 0.3754 0.0000
0.6877 0.6246 0.0000
```

## Properties
total magnetization: 0.00 μB per formula unit
formation enthalpy at 0 K: -0.299 eV/atom
SG: I4/mmm


# 20
This record from Alexandria describes GaTeH2Pd after structural relaxation. The functional is PBE-GGA.

Cell and atoms, written as POSCAR:
```
GaTeH2Pd
1.0
3.7329 0.0000 0.0000
0.0000 6.1696 0.0000
0.0000 0.0000 3.7329
H Te Ga Pd
2 1 1 1
direct
0.0000 0.0000 0.5000
0.5000 0.0000 0.0000
0.0000 0.0000 0.0000
0.0000 0.5000 0.0000
0.5000 0.5000 0.5000
```

## Properties
raw total energy: -0.244 Ry per atom
total magnetization: 0.00 μB per formula unit
SG: P4/mmm